Entry from the Alexandria database: an optimized crystal structure of Co2HOs2 (PBE).

Structure (CIF):
```
data_Co2HOs2
_cell_length_a 7.1160
_cell_length_b 7.1160
_cell_length_c 2.5850
_cell_angle_alpha 90.00
_cell_angle_beta 90.00
_cell_angle_gamma 90.00
_space_group_name_H-M_alt 'P 4/m b m'
_space_group_IT_number 127
_space_group_name_Hall '-P 4 2ab'
loop_
_atom_site_label
_atom_site_type_symbol
_atom_site_fract_x
_atom_site_fract_y
_atom_site_fract_z
Co1 Co 0.1598 0.3402 0.0000
H1 H 0.0000 0.0000 0.5000
Os1 Os 0.1351 0.6351 0.5000
```

Values from the calculation:
Energy above the lowest structure with this stoichiometry = 0 meV/atom

Entry from the Alexandria database: an optimized crystal structure of CoHOs (PBE).

Structure (CIF):
```
data_CoHOs
_cell_length_a 2.7263
_cell_length_b 2.7263
_cell_length_c 4.1972
_cell_angle_alpha 90.00
_cell_angle_beta 90.00
_cell_angle_gamma 120.00
_space_group_name_H-M_alt 'P 3 m 1'
_space_group_IT_number 156
_space_group_name_Hall 'P 3 -2"'
loop_
_atom_site_label
_atom_site_type_symbol
_atom_site_fract_x
_atom_site_fract_y
_atom_site_fract_z
Co1 Co 0.0000 0.0000 0.0000
H1 H 0.3333 0.6667 0.8092
Os1 Os 0.6667 0.3333 0.4790
```

Values from the calculation:
Energy above the lowest structure with this stoichiometry = 34 meV/atom